Below is crystalline LaGdPd at its relaxed geometry, with properties calculated at the PBE level.

abc: 7.1126 7.1126 7.1126
angles: 90.00 90.00 90.00
Space group F-43m (No. 216)
Symmetry-distinct sites (fractional):
La: 0.0000 0.0000 0.0000
Gd: 0.0000 0.0000 0.5000
Pd: 0.2500 0.2500 0.2500

Excess energy over the best structure of this formula in the dataset in eV per formula unit: 0.26
M_tot in μB per atom: 2.457
ρ in g cm⁻³: 7.43
Total energy in eV per cell: -101.797
DOS(E_F) in states/eV/f.u.: 4.83
Formation enthalpy at 0 K in eV per atom: -0.416